Material: In3MoAu
Method: DFT, PBE-GGA
State: optimized geometry

Summary:
DOS(E_F): 3.57 states/eV/cell
energy above the most stable polymorph in this dataset: 0 meV per atom
formation energy from the elements: 0.7527 eV/atom
raw total energy: -0.2728 Ry per atom

Lattice parameters (Å, degrees): 5.2980 5.2980 5.2980 90.00 90.00 90.00
Fractional positions:
In 0.0000 0.0000 0.5000
In 0.0000 0.5000 0.0000
In 0.5000 0.0000 0.0000
Mo 0.0000 0.0000 0.0000
Au 0.5000 0.5000 0.5000